1.
# PBE-GGA WAuSe, relaxed
# Crystal system: hexagonal
# Uncorrected formation energy in kJ/mol of atoms: 50.44
# Offset from the most stable computed form in meV/atom: 446.8
data_WAuSe
_chemical_formula_sum 'W1 Au1 Se1'
_cell_length_a 4.2779
_cell_length_b 4.2779
_cell_length_c 3.3919
_cell_angle_alpha 90.00
_cell_angle_beta 90.00
_cell_angle_gamma 120.00
_symmetry_space_group_name_H-M 'P -6 m 2'
_symmetry_Int_Tables_number 187
_symmetry_space_group_name_Hall 'P -6 2'
loop_
_atom_site_label
_atom_site_type_symbol
_atom_site_fract_x
_atom_site_fract_y
_atom_site_fract_z
W1 W 0.0000 0.0000 0.0000
Au1 Au 0.6667 0.3333 0.5000
Se1 Se 0.3333 0.6667 0.0000

2.
# PBE-GGA HoTmRu, relaxed
# Crystal system: tetragonal
# Calculated formation energy in eV/atom: -0.388
# Offset from the most stable computed form in meV/atom: 0.0
data_HoTmRu
_chemical_formula_sum 'Ho2 Tm2 Ru2'
_cell_length_a 3.3756
_cell_length_b 3.3756
_cell_length_c 12.7826
_cell_angle_alpha 90.00
_cell_angle_beta 90.00
_cell_angle_gamma 90.00
_symmetry_space_group_name_H-M 'I 4 m m'
_symmetry_Int_Tables_number 107
_symmetry_space_group_name_Hall 'I 4 -2'
loop_
_atom_site_label
_atom_site_type_symbol
_atom_site_fract_x
_atom_site_fract_y
_atom_site_fract_z
Ho1 Ho 0.0000 0.0000 0.0000
Tm1 Tm 0.0000 0.0000 0.2550
Ru1 Ru 0.0000 0.0000 0.6292

3.
# PBE-GGA Pa2Zn3Rh2, relaxed
# Crystal system: monoclinic
# Calculated formation energy in eV/atom: -0.448
data_Pa2Zn3Rh2
_chemical_formula_sum 'Pa4 Zn6 Rh4'
_cell_length_a 9.3376
_cell_length_b 4.4887
_cell_length_c 6.3852
_cell_angle_alpha 90.00
_cell_angle_beta 101.71
_cell_angle_gamma 90.00
_symmetry_space_group_name_H-M 'C 1 2/m 1'
_symmetry_Int_Tables_number 12
_symmetry_space_group_name_Hall '-C 2y'
loop_
_atom_site_label
_atom_site_type_symbol
_atom_site_fract_x
_atom_site_fract_y
_atom_site_fract_z
Pa1 Pa 0.1095 0.0000 0.3647
Zn1 Zn 0.0000 0.5000 0.0000
Zn2 Zn 0.2167 0.0000 0.8912
Rh1 Rh 0.1225 0.5000 0.6729

Let's list total energy in order: -6.049 -6.497 -5.808 eV/atom.
Let's list volume in order: 17.92 24.28 18.72 Å³/atom.